An optimized crystal structure of HfGeO3, computed with GGA-PBE.

Cell lengths 3.806, 3.806, 3.806 Å; angles 90.00, 90.00, 90.00 degrees
Last column: magnetic moment on the atom in μB.
Element x y z (fractional)
Ge 0.000 0.000 0.000  0.00
Hf 0.500 0.500 0.500  0.74
O 0.000 0.500 0.000  0.01
O 0.000 0.000 0.500  0.01
O 0.500 0.000 0.000  -0.01

Summary:
total magnetization: 0.200 μB per atom
E_form (uncorrected): -1.089 eV per atom



An optimized crystal structure of MgTl2Ru, computed with GGA-PBE.

Cell lengths 6.911, 6.911, 4.569 Å; angles 70.66, 70.66, 26.51 degrees
Element x y z (fractional)
Mg 0.571 0.571 0.429
Ru 0.246 0.246 0.254
Tl 0.942 0.942 0.058
Tl 0.741 0.741 0.759

Summary:
DFT formation energy: 224 meV per atom
excess energy over the best structure of this formula in the dataset: 0 meV/atom
total magnetization: 0.000 μB per atom



An optimized crystal structure of La8Pm4Pr, computed with GGA-PBE.

Cell lengths 11.957, 11.957, 7.976 Å; angles 90.00, 138.56, 120.00 degrees
Element x y z (fractional)
La 0.524 0.762 0.286
La 0.476 0.238 0.714
La 0.336 0.168 0.009
La 0.159 0.327 0.991
La 0.664 0.832 0.991
La 0.159 0.832 0.991
La 0.841 0.168 0.009
La 0.841 0.673 0.009
Pm 0.000 0.000 0.000
Pm 0.000 0.500 0.000
Pm 0.500 0.500 0.000
Pm 0.500 0.000 0.000
Pr 0.000 0.500 0.500

Summary:
DFT formation energy: 355 meV per atom
total magnetization: 0.000 μB per atom



An optimized crystal structure of Ac6Si2OsBr3, computed with GGA-PBE.

Cell lengths 4.462, 9.597, 10.348 Å; angles 105.71, 102.45, 90.00 degrees
Element x y z (fractional)
Ac 0.352 0.898 0.704
Ac 0.675 0.564 0.351
Ac 0.648 0.102 0.296
Ac 0.004 0.214 0.007
Ac 0.996 0.786 0.993
Ac 0.325 0.436 0.649
Si 0.836 0.663 0.672
Si 0.164 0.337 0.328
Os 0.500 0.000 0.000
Br 0.500 0.500 0.000
Br 0.826 0.164 0.652
Br 0.174 0.836 0.348

Summary:
total magnetization: 0.000 μB per atom
E_form (uncorrected): -0.933 eV per atom



An optimized crystal structure of Dy12CdFe6, computed with GGA-PBE.

Cell lengths 8.389, 8.389, 8.389 Å; angles 109.47, 109.47, 109.47 degrees
Last column: magnetic moment on the atom in μB.
Element x y z (fractional)
Dy 0.299 0.104 0.804  -0.17
Dy 0.299 0.495 0.196  -0.17
Dy 0.701 0.505 0.804  -0.17
Dy 0.701 0.896 0.196  -0.17
Dy 0.104 0.804 0.299  -0.17
Dy 0.495 0.196 0.299  -0.17
Dy 0.505 0.804 0.701  -0.17
Dy 0.896 0.196 0.701  -0.17
Dy 0.804 0.299 0.104  -0.17
Dy 0.196 0.299 0.495  -0.17
Dy 0.804 0.701 0.505  -0.17
Dy 0.196 0.701 0.896  -0.17
Cd 0.000 0.000 0.000  -0.01
Fe 0.390 0.500 0.890  1.33
Fe 0.610 0.500 0.110  1.33
Fe 0.500 0.890 0.390  1.33
Fe 0.500 0.110 0.610  1.33
Fe 0.890 0.390 0.500  1.33
Fe 0.110 0.610 0.500  1.33

Summary:
DFT formation energy: -49 meV per atom
total magnetization: 0.289 μB per atom



An optimized crystal structure of Tb2Nd2Sm2Tl, computed with GGA-PBE.

Cell lengths 3.534, 9.121, 8.242 Å; angles 118.38, 90.00, 101.17 degrees
Element x y z (fractional)
Tb 0.434 0.868 0.754
Tb 0.566 0.132 0.246
Nd 0.642 0.285 0.895
Nd 0.358 0.715 0.105
Sm 0.780 0.559 0.362
Sm 0.220 0.441 0.638
Tl 0.000 0.000 0.500

Summary:
DFT formation energy: 54 meV per atom
total magnetization: 0.000 μB per atom



Copy entry 2 word for word.
An optimized crystal structure of MgTl2Ru, computed with GGA-PBE.

Cell lengths 6.911, 6.911, 4.569 Å; angles 70.66, 70.66, 26.51 degrees
Element x y z (fractional)
Mg 0.571 0.571 0.429
Ru 0.246 0.246 0.254
Tl 0.942 0.942 0.058
Tl 0.741 0.741 0.759

Summary:
DFT formation energy: 224 meV per atom
excess energy over the best structure of this formula in the dataset: 0 meV/atom
total magnetization: 0.000 μB per atom



Q: Look up the total magnetization of the sixth one.
A: 0.000 μB per atom